This record from the Alexandria database describes a relaxed structure of SrReIr2. The functional is GGA-PBEsol.

a = 5.050 Å, b = 2.742 Å, c = 5.174 Å
α = 90.00°, β = 111.61°, γ = 90.00°
Sites, in units of the cell vectors:
Sr1 0.000 0.000 0.000
Re1 0.000 0.500 0.500
Ir1 0.500 0.000 0.500
Ir2 0.500 0.500 0.000

Computed properties:
electronic total energy: -7.96 eV per atom
crystal system: monoclinic
excess energy over the best structure of this formula in the dataset: 0.70 eV per formula unit
formation energy from the elements: 2.98 eV per formula unit
size of the total moment: 0.00 μB/f.u.

This record from the Alexandria database describes a relaxed structure of SrReIr2. The functional is GGA-PBEsol.

a = 4.901 Å, b = 4.901 Å, c = 2.821 Å
α = 90.00°, β = 90.00°, γ = 90.00°
Sites, in units of the cell vectors:
Sr1 0.000 0.000 0.000
Re1 0.500 0.500 0.000
Ir1 0.000 0.500 0.500
Ir2 0.500 0.000 0.500

Computed properties:
electronic total energy: -8.13 eV per atom
crystal system: tetragonal
excess energy over the best structure of this formula in the dataset: 0.00 eV per formula unit
formation energy from the elements: 2.29 eV per formula unit
size of the total moment: 0.00 μB/f.u.

This record from the Alexandria database describes a relaxed structure of Sr2ReIr. The functional is GGA-PBEsol.

a = 9.920 Å, b = 2.940 Å, c = 5.649 Å
α = 90.00°, β = 94.84°, γ = 90.00°
Sites, in units of the cell vectors:
Sr1 0.247 0.000 0.243
Sr2 0.253 0.500 0.757
Sr3 0.747 0.500 0.243
Sr4 0.753 0.000 0.757
Re1 0.000 0.000 0.500
Re2 0.500 0.500 0.500
Ir1 0.000 0.500 0.000
Ir2 0.500 0.000 0.000

Computed properties:
electronic total energy: -5.62 eV per atom
crystal system: monoclinic
excess energy over the best structure of this formula in the dataset: 2.65 eV per formula unit
formation energy from the elements: 4.34 eV per formula unit
size of the total moment: 0.38 μB/f.u.

This record from the Alexandria database describes a relaxed structure of SrReIr2. The functional is GGA-PBEsol.

a = 4.032 Å, b = 4.032 Å, c = 8.353 Å
α = 90.00°, β = 90.00°, γ = 90.00°
Sites, in units of the cell vectors:
Sr1 0.000 0.000 0.000
Sr2 0.500 0.500 0.500
Re1 0.000 0.500 0.750
Re2 0.500 0.000 0.250
Ir1 0.000 0.000 0.500
Ir2 0.000 0.500 0.250
Ir3 0.500 0.000 0.750
Ir4 0.500 0.500 0.000

Computed properties:
electronic total energy: -7.83 eV per atom
crystal system: tetragonal
excess energy over the best structure of this formula in the dataset: 1.21 eV per formula unit
formation energy from the elements: 3.50 eV per formula unit
size of the total moment: 0.00 μB/f.u.

This record from the Alexandria database describes a relaxed structure of Sr2ReIr. The functional is GGA-PBEsol.

a = 3.370 Å, b = 3.370 Å, c = 9.243 Å
α = 90.00°, β = 90.00°, γ = 90.00°
Sites, in units of the cell vectors:
Sr1 0.000 0.000 0.000
Sr2 0.500 0.500 0.399
Re1 0.500 0.500 0.745
Ir1 0.000 0.000 0.646

Computed properties:
electronic total energy: -6.29 eV per atom
crystal system: tetragonal
excess energy over the best structure of this formula in the dataset: 0.00 eV per formula unit
formation energy from the elements: 1.69 eV per formula unit
size of the total moment: 0.00 μB/f.u.

This record from the Alexandria database describes a relaxed structure of SrReIr2. The functional is GGA-PBEsol.

a = 3.520 Å, b = 5.133 Å, c = 8.627 Å
α = 90.00°, β = 90.00°, γ = 90.00°
Sites, in units of the cell vectors:
Sr1 0.000 0.000 0.000
Sr2 0.500 0.500 0.500
Re1 0.000 0.000 0.500
Re2 0.500 0.500 0.000
Ir1 0.000 0.500 0.198
Ir2 0.000 0.500 0.802
Ir3 0.500 0.000 0.302
Ir4 0.500 0.000 0.698

Computed properties:
electronic total energy: -7.98 eV per atom
crystal system: orthorhombic
excess energy over the best structure of this formula in the dataset: 0.61 eV per formula unit
formation energy from the elements: 2.90 eV per formula unit
size of the total moment: 0.00 μB/f.u.

This record from the Alexandria database describes a relaxed structure of TaReIr2. The functional is GGA-PBEsol.

a = 6.260 Å, b = 6.260 Å, c = 6.260 Å
α = 90.00°, β = 90.00°, γ = 90.00°
Sites, in units of the cell vectors:
Ta1 0.000 0.000 0.000
Ta2 0.000 0.500 0.500
Ta3 0.500 0.000 0.500
Ta4 0.500 0.500 0.000
Re1 0.000 0.000 0.500
Re2 0.000 0.500 0.000
Re3 0.500 0.000 0.000
Re4 0.500 0.500 0.500
Ir1 0.250 0.250 0.250
Ir2 0.250 0.250 0.750
Ir3 0.250 0.750 0.250
Ir4 0.250 0.750 0.750
Ir5 0.750 0.250 0.250
Ir6 0.750 0.250 0.750
Ir7 0.750 0.750 0.250
Ir8 0.750 0.750 0.750

Computed properties:
electronic total energy: -11.17 eV per atom
crystal system: cubic
excess energy over the best structure of this formula in the dataset: 2.77 eV per formula unit
formation energy from the elements: 0.85 eV per formula unit
size of the total moment: 0.00 μB/f.u.

This record from the Alexandria database describes a relaxed structure of TaReIr2. The functional is GGA-PBEsol.

a = 3.904 Å, b = 3.904 Å, c = 3.889 Å
α = 90.00°, β = 90.00°, γ = 90.00°
Sites, in units of the cell vectors:
Ta1 0.000 0.000 0.000
Re1 0.500 0.500 0.000
Ir1 0.000 0.500 0.500
Ir2 0.500 0.000 0.500

Computed properties:
electronic total energy: -11.86 eV per atom
crystal system: tetragonal
excess energy over the best structure of this formula in the dataset: 0.00 eV per formula unit
formation energy from the elements: -1.93 eV per formula unit
size of the total moment: 0.00 μB/f.u.

This record from the Alexandria database describes a relaxed structure of TaReIr2. The functional is GGA-PBEsol.

a = 3.900 Å, b = 3.900 Å, c = 7.802 Å
α = 90.00°, β = 90.00°, γ = 90.00°
Sites, in units of the cell vectors:
Ta1 0.000 0.000 0.000
Ta2 0.500 0.500 0.500
Re1 0.000 0.000 0.500
Re2 0.500 0.500 0.000
Ir1 0.000 0.500 0.250
Ir2 0.000 0.500 0.750
Ir3 0.500 0.000 0.250
Ir4 0.500 0.000 0.750

Computed properties:
electronic total energy: -11.83 eV per atom
crystal system: tetragonal
excess energy over the best structure of this formula in the dataset: 0.14 eV per formula unit
formation energy from the elements: -1.79 eV per formula unit
size of the total moment: 0.00 μB/f.u.

This record from the Alexandria database describes a relaxed structure of TaReIr2. The functional is GGA-PBEsol.

a = 3.894 Å, b = 3.894 Å, c = 7.860 Å
α = 90.00°, β = 90.00°, γ = 90.00°
Sites, in units of the cell vectors:
Ta1 0.000 0.000 0.000
Ta2 0.500 0.500 0.500
Re1 0.000 0.500 0.750
Re2 0.500 0.000 0.250
Ir1 0.000 0.000 0.500
Ir2 0.000 0.500 0.250
Ir3 0.500 0.000 0.750
Ir4 0.500 0.500 0.000

Computed properties:
electronic total energy: -11.72 eV per atom
crystal system: tetragonal
excess energy over the best structure of this formula in the dataset: 0.56 eV per formula unit
formation energy from the elements: -1.37 eV per formula unit
size of the total moment: 0.00 μB/f.u.

This record from the Alexandria database describes a relaxed structure of ReTcIr2. The functional is GGA-PBEsol.

a = 2.713 Å, b = 2.713 Å, c = 7.739 Å
α = 90.00°, β = 90.00°, γ = 90.00°
Sites, in units of the cell vectors:
Re1 0.000 0.000 0.000
Tc1 0.500 0.500 0.265
Ir1 0.000 0.000 0.497
Ir2 0.500 0.500 0.764

Computed properties:
electronic total energy: -11.17 eV per atom
crystal system: tetragonal
excess energy over the best structure of this formula in the dataset: 0.77 eV per formula unit
formation energy from the elements: -0.45 eV per formula unit
size of the total moment: 0.00 μB/f.u.

This record from the Alexandria database describes a relaxed structure of ReTcIr2. The functional is GGA-PBEsol.

a = 2.713 Å, b = 4.342 Å, c = 4.771 Å
α = 90.00°, β = 90.00°, γ = 90.00°
Sites, in units of the cell vectors:
Re1 0.000 0.000 0.000
Tc1 0.000 0.500 0.672
Ir1 0.500 0.000 0.507
Ir2 0.500 0.500 0.172

Computed properties:
electronic total energy: -11.37 eV per atom
crystal system: orthorhombic
excess energy over the best structure of this formula in the dataset: 0.00 eV per formula unit
formation energy from the elements: -1.22 eV per formula unit
size of the total moment: 0.00 μB/f.u.